First-principles (PBE) data for a relaxed structure of KAgAs2, as listed in Alexandria via LeMat-Bulk.

The value obtained for the distance to the lowest polymorph of the same formula is 0.310 eV per atom. Its energy relative to the elements is 148 meV/atom.

extended XYZ file:
```
4
Lattice="5.853 0.057 0.000 -2.464 5.309 0.000 0.000 0.000 2.847" Properties=species:S:1:pos:R:3 pbc="T T T"
K 2.926 0.029 1.424
Ag -1.232 2.655 1.424
As 1.695 2.683 0.000
As 0.000 0.000 0.000
```

---

First-principles (PBE) data for a relaxed structure of K2AgAs, as listed in Alexandria via LeMat-Bulk.

Its energy relative to the elements is -2 meV/atom.

extended XYZ file:
```
4
Lattice="-0.109 -5.983 0.248 5.466 -2.259 0.944 -3.192 4.268 2.732" Properties=species:S:1:pos:R:3 pbc="T T T"
K 2.678 -4.121 0.596
K 0.000 0.000 0.000
As -0.312 -2.918 1.788
Ag 2.476 -1.056 2.136
```